Entry 1:
Compound: BSb2TeIr
Source: Alexandria via LeMat-Bulk
Functional: meta-GGA SCAN
Structure: single point on PBEsol structure

Values from the calculation:
As for the raw formation energy: 1.342 eV/atom.

abc: 4.9713 4.9713 5.5930
angles: 90.00 90.00 90.00
Element x y z (fractional)
Te 0.0000 0.0000 0.5000
Sb 0.0000 0.5000 0.0000
Sb 0.5000 0.0000 0.0000
B 0.5000 0.5000 0.5000
Ir 0.0000 0.0000 0.0000

***

Entry 2:
Compound: LaNiP
Source: Alexandria via LeMat-Bulk
Functional: meta-GGA SCAN
Structure: single point on PBEsol structure

Values from the calculation:
The calculation puts the formation energy at -1.260 eV/atom.

abc: 3.9748 3.9748 8.1057
angles: 90.00 90.00 120.00
Element x y z (fractional)
La 0.0000 0.0000 0.5000
Ni 0.6667 0.3333 0.2500
P 0.6667 0.3333 0.7500
P 0.3333 0.6667 0.2500
La 0.0000 0.0000 0.0000
Ni 0.3333 0.6667 0.7500

***

Entry 3:
Compound: CaTlSe2
Source: Alexandria via LeMat-Bulk
Functional: meta-GGA SCAN
Structure: single point on PBEsol structure

Values from the calculation:
As for the raw formation energy: -1.053 eV/atom.

abc: 3.7757 3.7763 6.8598
angles: 90.09 90.00 90.00
Element x y z (fractional)
Ca 0.5000 0.5000 0.0000
Tl 0.5000 0.5000 0.5000
Se 0.0000 0.9998 0.2142
Se 0.0000 0.0002 0.7858

***

Entry 4:
Compound: FeSb3P4O16
Source: Alexandria via LeMat-Bulk
Functional: meta-GGA SCAN
Structure: single point on PBEsol structure

Values from the calculation:
As for the raw formation energy: -2.019 eV/atom.

abc: 4.9156 6.5752 9.8933
angles: 90.00 97.99 90.00
Site moments in Bohr magnetons follow the coordinates.
Element x y z (fractional)
O 0.4332 0.5000 0.8783  0.09
O 0.1305 0.5000 0.3425  0.01
O 0.1155 0.0000 0.9369  0.00
O 0.1348 0.1797 0.1701  0.00
O 0.3113 0.1940 0.6843  0.09
P 0.2422 0.0000 0.0861  0.00
O 0.9226 0.5000 0.5532  0.16
P 0.1674 0.0000 0.6183  0.00
O 0.3113 0.8060 0.6843  0.09
O 0.1348 0.8203 0.1701  0.00
Fe 0.1467 0.5000 0.7189  4.16
O 0.8534 0.5000 0.0510  0.01
O 0.1758 0.0000 0.4629  0.01
Sb 0.2604 0.5000 0.1621  0.00
O 0.8696 0.3213 0.8207  0.08
O 0.6786 0.6887 0.3450  0.01
P 0.8470 0.5000 0.3965  0.01
O 0.5536 0.0000 0.0922  0.00
Sb 0.7123 0.0000 0.8216  0.02
O 0.8576 0.0000 0.6403  0.00
O 0.6786 0.3113 0.3450  0.01
Sb 0.8450 0.0000 0.3022  0.00
O 0.8696 0.6787 0.8207  0.08
P 0.7482 0.5000 0.8969  0.01

***

Entry 5:
Compound: ScTaMo2
Source: Alexandria via LeMat-Bulk
Functional: meta-GGA SCAN
Structure: single point on PBEsol structure

Values from the calculation:
The calculation puts the formation energy at 0.299 eV/atom.

abc: 2.6688 4.6731 5.4620
angles: 90.00 90.00 90.00
Element x y z (fractional)
Ta 0.5000 0.5000 0.5000
Mo 0.0000 0.0000 0.2509
Sc 0.5000 0.5000 0.0000
Mo 0.0000 0.0000 0.7491

***

Entry 6:
Compound: MnTc2Te
Source: Alexandria via LeMat-Bulk
Functional: meta-GGA SCAN
Structure: single point on PBEsol structure

Values from the calculation:
As for the raw formation energy: 0.232 eV/atom.

abc: 2.9972 4.4908 4.8763
angles: 111.05 90.00 90.00
Site moments in Bohr magnetons follow the coordinates.
Element x y z (fractional)
Tc 0.5000 0.0000 0.5000  -0.49
Mn 0.0000 0.5000 0.5000  3.53
Te 0.5000 0.5000 0.0000  -0.02
Tc 0.0000 0.0000 0.0000  -0.23

***

Entry 7:
Compound: SrP2Ru
Source: Alexandria via LeMat-Bulk
Functional: meta-GGA SCAN
Structure: single point on PBEsol structure

Values from the calculation:
The calculation puts the formation energy at -0.774 eV/atom.

abc: 4.0286 4.0286 5.6883
angles: 69.26 69.26 60.00
Element x y z (fractional)
Sr 0.5000 0.5000 0.5000
P 0.2916 0.2916 0.1250
P 0.7084 0.7084 0.8750
Ru 0.0000 0.0000 0.0000

***

Entry 8:
Compound: Cd3Ag
Source: Alexandria via LeMat-Bulk
Functional: meta-GGA SCAN
Structure: single point on PBEsol structure

Values from the calculation:
The calculation puts the formation energy at -0.049 eV/atom.

abc: 4.7979 5.2565 6.0273
angles: 90.00 90.00 90.00
Element x y z (fractional)
Ag 0.0000 0.6715 0.0000
Cd 0.0000 0.6565 0.5000
Cd 0.5000 0.8310 0.2512
Cd 0.5000 0.3435 0.0000
Ag 0.5000 0.3285 0.5000
Cd 0.5000 0.8310 0.7488
Cd 0.0000 0.1690 0.2488
Cd 0.0000 0.1690 0.7512

***

Number 1: DFT total energy -36.719 eV per atom, size of the total moment 0.00 μB per formula unit. Number 2: DFT total energy -24.486 eV per atom, size of the total moment 0.00 μB per formula unit. Number 3: DFT total energy -31.598 eV per atom, size of the total moment 0.00 μB per formula unit. Number 4: DFT total energy -13.319 eV per atom, size of the total moment 5.00 μB per formula unit. Number 5: DFT total energy -37.349 eV per atom, size of the total moment 0.00 μB per formula unit. Number 6: DFT total energy -31.175 eV per atom, size of the total moment 2.88 μB per formula unit. Number 7: DFT total energy -20.249 eV per atom, size of the total moment 0.00 μB per formula unit. Number 8: DFT total energy -30.702 eV per atom, size of the total moment 0.00 μB per formula unit.